A plane-wave DFT calculation with PBE was carried out for a relaxed ZnFeBOs crystal.

Values from the calculation:
polymorph energy (0 for the lowest one)	335	meV per atom
density	11.368	Mg/m³

Cell lengths 4.053, 4.053, 4.053 Å; angles 60.00, 60.00, 60.00 degrees
Sites, in units of the cell vectors:
B (0.000, 0.000, 0.000)
Fe (0.750, 0.750, 0.750)
Os (0.500, 0.500, 0.500)
Zn (0.250, 0.250, 0.250)